GdPuInBi: relaxed, PBE-GGA.

```
GdPuInBi
1.0
-0.4980 -5.1725 -1.6271
4.0395 -3.5385 0.9011
-0.6234 -3.9640 3.6808
Gd In Bi Pu
1 1 1 1
Direct
0.7500 0.7500 0.7500 Gd
0.0000 0.0000 0.0000 In
0.5000 0.5000 0.5000 Bi
0.2500 0.2500 0.2500 Pu
```

Values from the calculation:
* energy: -9.11 eV/atom
* SG: F-43m, No. 216

***

Li4GaAu: relaxed, PBE-GGA.

```
Li4GaAu
1.0
4.4132 0.0000 0.0000
0.0000 6.3944 0.0000
-2.2066 0.0000 6.6294
Li Ga Au
8 2 2
Direct
0.9895 0.2012 0.9791 Li
0.0105 0.7012 0.0209 Li
0.4858 0.9388 0.9716 Li
0.5142 0.4388 0.0284 Li
0.8237 0.4591 0.6475 Li
0.1763 0.9591 0.3525 Li
0.6760 0.1920 0.3521 Li
0.3240 0.6919 0.6479 Li
0.6626 0.7072 0.3252 Ga
0.3374 0.2072 0.6748 Ga
0.8356 0.9352 0.6712 Au
0.1644 0.4352 0.3288 Au
```

Values from the calculation:
* relative energy among the computed polymorphs: 0.000 eV per atom
* SG: Cmc2_1, No. 36

***

BaTl4Pb4: relaxed, PBE-GGA.

```
BaTl4Pb4
1.0
4.9254 0.0000 1.6680
2.4627 7.5548 0.8340
0.0394 0.0000 7.9896
Ba Tl Pb
1 4 4
Direct
0.0000 0.0000 0.0000 Ba
0.3223 0.3555 0.0000 Tl
0.6777 0.6445 0.0000 Tl
0.6777 0.0000 0.6445 Tl
0.3223 0.0000 0.3555 Tl
0.0000 0.6531 0.3469 Pb
0.0000 0.3469 0.6531 Pb
0.6531 0.3469 0.3469 Pb
0.3469 0.6531 0.6531 Pb
```

Values from the calculation:
* relative energy among the computed polymorphs: 0.000 eV per atom
* SG: I4/mmm, No. 139